# 1
## Dy3HgPb (PBE-GGA)

Data for Dy3HgPb after structural relaxation.

Cell and atoms, written as CIF:
```
data_Dy3HgPb
_chemical_formula_sum 'Dy24 Hg8 Pb8'
_space_group_name_H-M_alt 'C 1 2/c 1'
_space_group_IT_number 15
_cell_length_a 12.2908
_cell_length_b 11.3568
_cell_length_c 8.6227
_cell_angle_alpha 90.00
_cell_angle_beta 90.02
_cell_angle_gamma 90.00
loop_
_space_group_symop_operation_xyz
'x,y,z'
'-x,-y,-z'
'-x,y,-z+1/2'
'x,-y,z+1/2'
'x+1/2,y+1/2,z'
'-x+1/2,-y+1/2,-z'
'-x+1/2,y+1/2,-z+1/2'
'x+1/2,-y+1/2,z+1/2'
loop_
_atom_site_label
_atom_site_fract_x
_atom_site_fract_y
_atom_site_fract_z
Dy1 0.1022 0.1019 0.0823
Dy2 0.1016 0.3979 0.9177
Dy3 0.2499 0.1739 0.6987
Hg1 0.2493 0.4389 0.6244
Pb1 0.0000 0.1499 0.7500
Pb2 0.0000 0.3493 0.2500
```

Properties
The calculation puts the energy relative to the elements at -157 kJ/mol of formula units.



# 2
## CoCuSb2 (PBE-GGA)

Data for CoCuSb2 after structural relaxation.

Cell and atoms, written as CIF:
```
data_CoCuSb2
_chemical_formula_sum 'Co2 Cu2 Sb4'
_space_group_name_H-M_alt 'C m m m'
_space_group_IT_number 65
_space_group_name_Hall '-C 2 2'
_cell_length_a 6.4618
_cell_length_b 6.4718
_cell_length_c 3.4115
_cell_angle_alpha 90.00
_cell_angle_beta 90.00
_cell_angle_gamma 90.00
loop_
_atom_site_label
_atom_site_fract_x
_atom_site_fract_y
_atom_site_fract_z
Co1 0.0000 0.0000 0.0000
Cu1 0.0000 0.5000 0.0000
Sb1 0.2500 0.2500 0.5000
```

Properties
The total DFT energy (no corrections) comes out at -4.527 eV per atom.



# 3
## LaHgAs2Se (PBE-GGA)

Data for LaHgAs2Se after structural relaxation.

Cell and atoms, written as CIF:
```
data_LaHgAs2Se
_chemical_formula_sum 'La1 Hg1 As2 Se1'
_space_group_name_H-M_alt 'P 4/m m m'
_space_group_IT_number 123
_space_group_name_Hall '-P 4 2'
_cell_length_a 5.8672
_cell_length_b 5.8672
_cell_length_c 5.6968
_cell_angle_alpha 90.00
_cell_angle_beta 90.00
_cell_angle_gamma 90.00
loop_
_atom_site_label
_atom_site_fract_x
_atom_site_fract_y
_atom_site_fract_z
La1 0.0000 0.0000 0.0000
Hg1 0.5000 0.5000 0.5000
As1 0.0000 0.5000 0.0000
Se1 0.0000 0.0000 0.5000
```

Properties
The total DFT energy (no corrections) comes out at -3.331 eV per atom.



# 4
## Y2ZrBr (PBE-GGA)

Data for Y2ZrBr after structural relaxation.

Cell and atoms, written as CIF:
```
data_Y2ZrBr
_chemical_formula_sum 'Y4 Zr2 Br2'
_space_group_name_H-M_alt 'C m m m'
_space_group_IT_number 65
_space_group_name_Hall '-C 2 2'
_cell_length_a 4.8696
_cell_length_b 4.8889
_cell_length_c 9.1429
_cell_angle_alpha 90.00
_cell_angle_beta 90.00
_cell_angle_gamma 90.00
loop_
_atom_site_label
_atom_site_fract_x
_atom_site_fract_y
_atom_site_fract_z
Y1 0.0000 0.0000 0.2457
Zr1 0.0000 0.5000 0.0000
Br1 0.0000 0.5000 0.5000
```

Properties
The total DFT energy (no corrections) comes out at -6.216 eV per atom.



# 5
## SrLi2Sn2Hg2 (PBE-GGA)

Data for SrLi2Sn2Hg2 after structural relaxation.

Cell and atoms, written as CIF:
```
data_SrLi2Sn2Hg2
_chemical_formula_sum 'Sr3 Li6 Sn6 Hg6'
_space_group_name_H-M_alt 'R -3 m'
_space_group_IT_number 166
_space_group_name_Hall '-R 3 2"'
_cell_length_a 4.7712
_cell_length_b 4.7712
_cell_length_c 26.7174
_cell_angle_alpha 90.00
_cell_angle_beta 90.00
_cell_angle_gamma 120.00
loop_
_atom_site_label
_atom_site_fract_x
_atom_site_fract_y
_atom_site_fract_z
Sr1 0.0000 0.0000 0.0000
Li1 0.0000 0.0000 0.1416
Sn1 0.0000 0.0000 0.2542
Hg1 0.0000 0.0000 0.4414
```

Properties
The calculation puts the energy relative to the elements at -286 kJ/mol of formula units.



# 6
## PuZrCd2 (PBE-GGA)

Data for PuZrCd2 after structural relaxation.

Cell and atoms, written as CIF:
```
data_PuZrCd2
_chemical_formula_sum 'Pu1 Zr1 Cd2'
_space_group_name_H-M_alt 'P 4/m m m'
_space_group_IT_number 123
_space_group_name_Hall '-P 4 2'
_cell_length_a 3.0962
_cell_length_b 3.0962
_cell_length_c 9.5890
_cell_angle_alpha 90.00
_cell_angle_beta 90.00
_cell_angle_gamma 90.00
loop_
_atom_site_label
_atom_site_fract_x
_atom_site_fract_y
_atom_site_fract_z
Pu1 0.0000 0.0000 0.0000
Zr1 0.0000 0.0000 0.5000
Cd1 0.5000 0.5000 0.2645
```

Properties
The calculation puts the energy relative to the elements at -24 kJ/mol of formula units.



# 7
## GaBRh2S (PBE-GGA)

Data for GaBRh2S after structural relaxation.

Cell and atoms, written as CIF:
```
data_GaBRh2S
_chemical_formula_sum 'Ga1 B1 Rh2 S1'
_space_group_name_H-M_alt 'P 4/m m m'
_space_group_IT_number 123
_space_group_name_Hall '-P 4 2'
_cell_length_a 4.2096
_cell_length_b 4.2096
_cell_length_c 3.9904
_cell_angle_alpha 90.00
_cell_angle_beta 90.00
_cell_angle_gamma 90.00
loop_
_atom_site_label
_atom_site_fract_x
_atom_site_fract_y
_atom_site_fract_z
Ga1 0.0000 0.0000 0.0000
B1 0.0000 0.0000 0.5000
Rh1 0.0000 0.5000 0.5000
S1 0.5000 0.5000 0.0000
```

Properties
The total DFT energy (no corrections) comes out at -5.458 eV per atom.



# 8
## SrMgSi2 (PBE-GGA)

Data for SrMgSi2 after structural relaxation.

Cell and atoms, written as CIF:
```
data_SrMgSi2
_chemical_formula_sum 'Sr2 Mg2 Si4'
_space_group_name_H-M_alt 'C 1 m 1'
_space_group_IT_number 8
_cell_length_a 8.9148
_cell_length_b 3.8021
_cell_length_c 6.8238
_cell_angle_alpha 90.00
_cell_angle_beta 117.45
_cell_angle_gamma 90.00
loop_
_space_group_symop_operation_xyz
'x,y,z'
'x,-y,z'
'x+1/2,y+1/2,z'
'x+1/2,-y+1/2,z'
loop_
_atom_site_label
_atom_site_fract_x
_atom_site_fract_y
_atom_site_fract_z
Sr1 0.0000 0.0000 0.0000
Mg1 0.3421 0.5000 0.4432
Si1 0.0397 0.5000 0.3921
Si2 0.1832 0.0000 0.6405
```

Properties
The total DFT energy (no corrections) comes out at -3.645 eV per atom.



# 9
## TaSb2Ru (PBE-GGA)

Data for TaSb2Ru after structural relaxation.

Cell and atoms, written as CIF:
```
data_TaSb2Ru
_chemical_formula_sum 'Ta1 Sb2 Ru1'
_space_group_name_H-M_alt 'P 4/m m m'
_space_group_IT_number 123
_space_group_name_Hall '-P 4 2'
_cell_length_a 4.7415
_cell_length_b 4.7415
_cell_length_c 3.3065
_cell_angle_alpha 90.00
_cell_angle_beta 90.00
_cell_angle_gamma 90.00
loop_
_atom_site_label
_atom_site_fract_x
_atom_site_fract_y
_atom_site_fract_z
Ta1 0.0000 0.0000 0.0000
Sb1 0.0000 0.5000 0.5000
Ru1 0.5000 0.5000 0.0000
```

Properties
The total DFT energy (no corrections) comes out at -7.254 eV per atom.



# 10
## CoPd3Se8 (PBE-GGA)

Data for CoPd3Se8 after structural relaxation.

Cell and atoms, written as CIF:
```
data_CoPd3Se8
_chemical_formula_sum 'Co1 Pd3 Se8'
_space_group_name_H-M_alt 'P -1'
_space_group_IT_number 2
_cell_length_a 6.2022
_cell_length_b 6.2141
_cell_length_c 7.4894
_cell_angle_alpha 107.66
_cell_angle_beta 107.41
_cell_angle_gamma 105.81
loop_
_space_group_symop_operation_xyz
'x,y,z'
'-x,-y,-z'
loop_
_atom_site_label
_atom_site_fract_x
_atom_site_fract_y
_atom_site_fract_z
Co1 0.0000 0.0000 0.0000
Pd1 0.0000 0.0000 0.5000
Pd2 0.5000 0.5000 0.0000
Pd3 0.5000 0.5000 0.5000
Se1 0.1872 0.4405 0.1564
Se2 0.2017 0.4665 0.6689
Se3 0.2813 0.0336 0.3144
Se4 0.2854 0.0314 0.8441
```

Properties
The total DFT energy (no corrections) comes out at -4.493 eV per atom.



# 11
## Ti12Re5Os3 (PBE-GGA)

Data for Ti12Re5Os3 after structural relaxation.

Cell and atoms, written as CIF:
```
data_Ti12Re5Os3
_chemical_formula_sum 'Ti96 Re40 Os24'
_space_group_name_H-M_alt 'I a -3 d'
_space_group_IT_number 230
_space_group_name_Hall '-I 4bd 2c 3'
_cell_length_a 14.6603
_cell_length_b 14.6603
_cell_length_c 14.6603
_cell_angle_alpha 90.00
_cell_angle_beta 90.00
_cell_angle_gamma 90.00
loop_
_atom_site_label
_atom_site_fract_x
_atom_site_fract_y
_atom_site_fract_z
Ti1 0.0208 0.0770 0.6484
Re1 0.0000 0.0000 0.0000
Re2 0.0000 0.2500 0.3750
Os1 0.0000 0.2500 0.1250
```

Properties
The calculation puts the energy relative to the elements at 1544 kJ/mol of formula units.



# 12
## MgInNi2 (PBE-GGA)

Data for MgInNi2 after structural relaxation.

Cell and atoms, written as CIF:
```
data_MgInNi2
_chemical_formula_sum 'Mg4 In4 Ni8'
_space_group_name_H-M_alt 'F m -3 m'
_space_group_IT_number 225
_space_group_name_Hall '-F 4 2 3'
_cell_length_a 6.1894
_cell_length_b 6.1894
_cell_length_c 6.1894
_cell_angle_alpha 90.00
_cell_angle_beta 90.00
_cell_angle_gamma 90.00
loop_
_atom_site_label
_atom_site_fract_x
_atom_site_fract_y
_atom_site_fract_z
Mg1 0.0000 0.0000 0.0000
In1 0.0000 0.0000 0.5000
Ni1 0.2500 0.2500 0.2500
```

Properties
The calculation puts the energy relative to the elements at -76 kJ/mol of formula units.



Magnetization? In order: 0.0 0.0 1.3 0.0 0.0 5.9 0.0 0.0 0.0 0.0 0.0 0.0 Bohr magnetons per cell.